No. 1
TbNdTm3 | GGA-PBE | optimized geometry

```
TbNdTm3
1.0
9.281 -0.006 -2.290
0.003 5.622 0.001
-0.567 -0.001 6.231
Tm Tb Nd
6 2 2
Direct
0.800 0.450 0.232 Tm
0.599 0.450 0.635 Tm
0.000 0.950 0.164 Tm
0.200 0.950 0.768 Tm
0.000 0.450 0.836 Tm
0.401 0.950 0.365 Tm
0.600 0.950 0.966 Tb
0.400 0.450 0.034 Tb
0.800 0.951 0.568 Nd
0.200 0.451 0.432 Nd
```

Computed properties:
relative energy among the computed polymorphs = 0.0000 eV/atom
M_tot = 0.000 μB per atom


No. 2
Tb2Nd4YTm2 | GGA-PBE | optimized geometry

```
Tb2Nd4YTm2
1.0
5.091 0.000 0.000
-2.546 7.653 0.017
0.000 -2.565 7.622
Tb Y Tm Nd
2 1 2 4
Direct
0.888 0.777 0.331 Tb
0.112 0.223 0.669 Tb
0.000 0.000 0.000 Y
0.668 0.336 0.000 Tm
0.332 0.664 0.000 Tm
0.446 0.892 0.669 Nd
0.223 0.446 0.331 Nd
0.554 0.108 0.331 Nd
0.777 0.554 0.669 Nd
```

Computed properties:
M_tot = 0.000 μB per atom


No. 3
TbNd2Y6Tm3 | GGA-PBE | optimized geometry

```
TbNd2Y6Tm3
1.0
-2.534 -5.580 -0.806
4.261 0.849 4.398
-8.958 4.282 6.406
Y Nd Tm Tb
6 2 3 1
Direct
0.582 0.915 0.746 Y
0.418 0.085 0.254 Y
0.752 0.752 0.254 Y
0.915 0.582 0.746 Y
0.085 0.418 0.254 Y
0.248 0.248 0.746 Y
0.333 0.667 0.000 Nd
0.667 0.333 0.000 Nd
0.834 0.166 0.500 Tm
0.500 0.500 0.500 Tm
0.166 0.834 0.500 Tm
0.000 0.000 0.000 Tb
```

Computed properties:
M_tot = 0.000 μB per atom


No. 4
Tb6NdY2Tm | GGA-PBE | optimized geometry

```
Tb6NdY2Tm
1.0
9.048 -1.918 -1.991
0.896 8.555 -1.973
0.896 -2.288 8.476
Nd Tm Tb Y
2 2 12 4
Direct
0.750 0.030 0.970 Nd
0.250 0.970 0.030 Nd
0.250 0.411 0.589 Tm
0.750 0.589 0.411 Tm
0.185 0.562 0.012 Tb
0.057 0.122 0.756 Tb
0.557 0.756 0.122 Tb
0.815 0.438 0.988 Tb
0.884 0.291 0.516 Tb
0.943 0.878 0.244 Tb
0.315 0.988 0.438 Tb
0.384 0.516 0.291 Tb
0.443 0.244 0.878 Tb
0.616 0.484 0.709 Tb
0.685 0.012 0.562 Tb
0.116 0.709 0.484 Tb
0.451 0.797 0.695 Y
0.549 0.203 0.305 Y
0.951 0.695 0.797 Y
0.049 0.305 0.203 Y
```

Computed properties:
M_tot = 0.000 μB per atom


No. 5
Tb3NdY6Tm2 | GGA-PBE | optimized geometry

```
Tb3NdY6Tm2
1.0
-5.475 -2.487 1.372
4.893 -1.166 3.570
-2.377 10.479 4.911
Y Tm Tb Nd
6 2 3 1
Direct
0.750 0.750 0.250 Y
0.916 0.582 0.750 Y
0.418 0.084 0.250 Y
0.582 0.916 0.750 Y
0.084 0.418 0.250 Y
0.250 0.250 0.750 Y
0.333 0.667 0.000 Tm
0.667 0.333 0.000 Tm
0.500 0.500 0.500 Tb
0.833 0.167 0.500 Tb
0.167 0.833 0.500 Tb
0.000 0.000 0.000 Nd
```

Computed properties:
M_tot = 0.000 μB per atom


No. 6
Tb2Nd3YTm6 | GGA-PBE | optimized geometry

```
Tb2Nd3YTm6
1.0
6.171 0.001 -0.003
-3.083 5.345 -0.003
-1.021 -1.767 11.527
Tm Nd Tb Y
6 3 2 1
Direct
0.251 0.251 0.753 Tm
0.917 0.583 0.753 Tm
0.417 0.083 0.247 Tm
0.583 0.917 0.753 Tm
0.749 0.749 0.247 Tm
0.083 0.417 0.247 Tm
0.167 0.833 0.500 Nd
0.833 0.167 0.500 Nd
0.500 0.500 0.500 Nd
0.667 0.333 0.000 Tb
0.333 0.667 0.000 Tb
0.000 0.000 0.000 Y
```

Computed properties:
M_tot = 0.000 μB per atom


It is found that the formation enthalpy at 0 K values, taken in the order of the records, are 0.0086, 0.0224, 0.0231, 0.1226, 0.0206, 0.0222 eV/atom.